DFT (PBE+U) results for crystalline VTe2O at its relaxed geometry.

Unit cell a=9.438 b=9.438 c=9.438 alpha=19.71 beta=19.71 gamma=19.71
Atoms (fractional coordinates):
Te  0.102  0.102  0.102
Te  0.898  0.898  0.898
O  0.500  0.500  0.500
V  0.000  0.000  0.000

- Electronic total energy: -3.97 eV per atom
- Mass density: 6.40 g cm⁻³
- Spin magnetization: 1.005 μB/atom
- Space group: R-3m, No. 166
- Fermi-level density of states: 3.368 states/eV/cell